## Ca2TaIn (SCAN)

Data for Ca2TaIn at its PBEsol-relaxed geometry.

Summary:
Calculated density (Mg/m³): 6.49
Calculated formation energy (eV per atom): 0.38
N(E_F) (states/eV per atom): 0.44

a b c (Å): 5.850 5.850 5.850
angles (deg): 135.74 135.74 64.38
Atoms (fractional coordinates):
Ca  0.250  0.750  0.500
Ca  0.750  0.250  0.500
Ta  0.000  0.000  0.000
In  0.500  0.500  0.000

***

## CaTa4In (SCAN)

Data for CaTa4In at its PBEsol-relaxed geometry.

Summary:
Calculated density (Mg/m³): 11.84
Calculated formation energy (eV per atom): 0.40
N(E_F) (states/eV per atom): 0.78

a b c (Å): 5.586 5.586 5.586
angles (deg): 60.00 60.00 60.00
Atoms (fractional coordinates):
Ca  0.000  0.000  0.000
Ta  0.118  0.627  0.627
Ta  0.627  0.118  0.627
Ta  0.627  0.627  0.118
Ta  0.627  0.627  0.627
In  0.250  0.250  0.250

***

## CaTa2In (SCAN)

Data for CaTa2In at its PBEsol-relaxed geometry.

Summary:
Calculated density (Mg/m³): 10.30
Calculated formation energy (eV per atom): 0.24
N(E_F) (states/eV per atom): 0.90

a b c (Å): 2.956 2.956 9.788
angles (deg): 90.00 90.00 103.01
Atoms (fractional coordinates):
Ca  0.000  0.000  0.000
Ta  0.000  0.000  0.492
Ta  0.500  0.500  0.276
In  0.500  0.500  0.731

***

## CaTa2In (SCAN)

Data for CaTa2In at its PBEsol-relaxed geometry.

Summary:
Calculated density (Mg/m³): 9.71
Calculated formation energy (eV per atom): 0.13
N(E_F) (states/eV per atom): 0.65

a b c (Å): 3.485 3.485 7.282
angles (deg): 90.00 90.00 90.00
Atoms (fractional coordinates):
Ca  0.000  0.000  0.000
Ta  0.000  0.000  0.540
Ta  0.500  0.500  0.699
In  0.500  0.500  0.292

***

## Ca2TaIn (SCAN)

Data for Ca2TaIn at its PBEsol-relaxed geometry.

Summary:
Calculated density (Mg/m³): 6.33
Calculated formation energy (eV per atom): 0.40
N(E_F) (states/eV per atom): 0.90

a b c (Å): 10.923 10.923 10.923
angles (deg): 17.13 17.13 17.13
Atoms (fractional coordinates):
Ca  0.247  0.247  0.247
Ca  0.753  0.753  0.753
Ta  0.500  0.500  0.500
In  0.000  0.000  0.000

***

## CaTaIn (SCAN)

Data for CaTaIn at its PBEsol-relaxed geometry.

Summary:
Calculated density (Mg/m³): 6.91
Calculated formation energy (eV per atom): 1.00
N(E_F) (states/eV per atom): 1.40

a b c (Å): 4.851 4.851 4.851
angles (deg): 60.00 60.00 60.00
Atoms (fractional coordinates):
Ca  0.000  0.000  0.000
Ta  0.750  0.750  0.750
In  0.500  0.500  0.500

***

Number 2 is which compound?
CaTa4In

***

Look up the calculated density of the sixth one.
6.91 Mg/m³

***

Look up the calculated density of the fourth one.
9.71 Mg/m³

***

Repeat the third record exactly.
## CaTa2In (SCAN)

Data for CaTa2In at its PBEsol-relaxed geometry.

Summary:
Calculated density (Mg/m³): 10.30
Calculated formation energy (eV per atom): 0.24
N(E_F) (states/eV per atom): 0.90

a b c (Å): 2.956 2.956 9.788
angles (deg): 90.00 90.00 103.01
Atoms (fractional coordinates):
Ca  0.000  0.000  0.000
Ta  0.000  0.000  0.492
Ta  0.500  0.500  0.276
In  0.500  0.500  0.731